First-principles (PBE-GGA) data for an optimized crystal structure of Mn2V7Fe3, as listed in Alexandria via LeMat-Bulk.

Geometry as POSCAR:
```
Mn2V7Fe3
1.0
2.0779 -12.9412 0.0000
2.0779 12.9412 0.0000
0.0000 0.0000 2.8386
Mn V Fe
2 7 3
Direct
0.1658 0.8342 0.0000
0.8342 0.1658 0.0000
0.0000 0.0000 0.0000
0.0818 0.9182 0.5000
0.2735 0.7265 0.0000
0.4207 0.5793 0.0000
0.5793 0.4207 0.0000
0.7265 0.2735 0.0000
0.9182 0.0818 0.5000
0.3458 0.6542 0.5000
0.5000 0.5000 0.5000
0.6542 0.3458 0.5000
```

Summary:
density	6896	kg/m3
E_form	0.1202	eV per atom
space group	No. 65